Entry 1:
VASP calculation (PBEsol) on crystalline Mg3AsN at its relaxed geometry.

Properties
Its symmetry is Pm-3m. The size of the total moment comes out at 0.000 μB/f.u. Its energy is -22.78 eV/f.u.

Structure (extended XYZ):
```
5
Lattice="-4.0878 0.4534 -0.8900 -0.3517 -4.1628 -0.5052 -0.9349 -0.4164 4.0817" Properties=species:S:1:pos:R:3 pbc="T T T"
As -2.6872 -2.0629 1.3432
Mg -0.1758 -2.0814 -0.2526
Mg -0.4674 -0.2082 2.0408
Mg -2.0439 0.2267 -0.4450
N 0.0000 0.0000 0.0000
```

***

Entry 2:
VASP calculation (PBEsol) on crystalline Na2SrLi2 at its relaxed geometry.

Properties
Its symmetry is P4/mbm. The size of the total moment comes out at 0.000 μB/f.u. Its offset from the most stable computed form is 0 meV per atom.

Structure (extended XYZ):
```
10
Lattice="-2.9941 1.6201 -1.6321 -0.2062 -6.8573 -6.4285 -5.7232 -5.0091 5.5268" Properties=species:S:1:pos:R:3 pbc="T T T"
Sr 0.0000 0.0000 0.0000
Sr -2.9647 -5.9332 -0.4508
Li -5.3934 -3.7654 1.7900
Li -6.3605 -7.9502 -0.5900
Li -3.5300 -6.4808 -4.3238
Li -2.5630 -2.2960 -1.9438
Na -5.0888 -6.9619 2.4247
Na -3.7539 -9.1320 -2.1782
Na -0.8406 -4.9045 -3.3264
Na -2.1754 -2.7344 1.2765
```

***

Density of states at the Fermi level list, top to bottom, in states/eV/f.u.: 0.00, 3.32